# 1
PBE Ba2MgNi2, optimized geometry; crystal system = tetragonal; energy relative to the elements = 0.10 eV/atom; E_tot = -3.30 eV per atom; symmetry = P4/mbm, No. 127; total moment = 0.0 μB per formula unit
1.0
-7.267 2.766 0.970
-0.280 -3.238 7.129
1.697 3.825 1.804
Ba Ni Mg
4 4 2
direct
0.821 0.321 0.500
0.179 0.679 0.500
0.321 0.179 0.500
0.679 0.821 0.500
0.107 0.393 0.000
0.893 0.607 0.000
0.607 0.107 0.000
0.393 0.893 0.000
0.500 0.500 0.000
0.000 0.000 0.000

# 2
PBE BaMgNi, optimized geometry; crystal system = hexagonal; energy relative to the elements = 0.06 eV/atom; E_tot = -3.04 eV per atom; symmetry = P-6m2, No. 187; total moment = 0.0 μB per formula unit
1.0
-3.038 -0.506 3.381
-0.247 -2.658 -3.713
2.845 -3.171 2.081
Ba Ni Mg
1 1 1
direct
0.000 0.000 0.000
0.333 0.667 0.500
0.667 0.333 0.500